(1)
AlCd2Mo after structural relaxation. Source: Alexandria via LeMat-Bulk, functional GGA-PBE.

POSCAR file:
```
AlCd2Mo
1.0
3.639 0.000 0.000
0.000 3.639 0.000
0.000 0.000 5.724
Al Cd Mo
1 2 1
direct
0.000 0.000 0.000
0.500 0.500 0.253
0.500 0.500 0.747
0.000 0.000 0.500
```

Output
- Crystal system: tetragonal
- Final energy: -3.62 eV per atom
- D(E_F): 3.7 states/eV/cell
- Total magnetization: 1.463 μB per cell
- DFT formation energy: 0.4784 eV/atom

---

(2)
AlCd2Mo after structural relaxation. Source: Alexandria via LeMat-Bulk, functional GGA-PBE.

POSCAR file:
```
AlCd2Mo
1.0
1.494 0.863 9.602
-1.494 0.863 9.602
0.000 -1.726 9.602
Al Cd Mo
1 2 1
direct
0.000 0.000 0.000
0.250 0.250 0.250
0.750 0.750 0.750
0.500 0.500 0.500
```

Output
- Crystal system: trigonal
- Final energy: -3.75 eV per atom
- D(E_F): 2.4 states/eV/cell
- Total magnetization: 0.000 μB per cell
- DFT formation energy: 0.3485 eV/atom